NbTlP2O8 (GGA-PBE, relaxed); magnetic moment = 0.00 μB per formula unit; energy = -7.4292 eV/atom
1.0
5.1798 0.0000 0.0000
0.0000 13.0322 0.0000
-4.4264 0.0000 11.4772
Nb Tl P O
4 4 8 32
Cartesian
-0.8602 0.9569 3.4294
-3.0734 5.5592 9.1680
3.8268 7.4730 2.3092
1.6136 12.0753 8.0477
-3.0878 1.5333 11.2297
-0.8746 4.9828 5.4912
1.6280 8.0494 5.9860
3.8412 11.4989 0.2474
-1.0646 1.1307 7.0547
1.1486 5.3854 1.3162
-0.9370 9.7517 8.1077
1.2762 9.7966 2.3692
-0.5228 3.2356 9.1080
1.6904 3.2805 3.3694
-0.3952 7.6468 10.1610
1.8180 11.9015 4.4224
-0.4826 0.6910 1.7186
-2.6958 5.8251 7.4572
-1.3780 1.3329 5.5983
-3.5912 5.1832 11.3369
-2.2476 0.6115 7.9021
-0.0344 5.9046 2.1635
0.2124 8.7162 2.6507
-2.0008 10.8321 8.3893
-1.3033 8.6875 7.1253
0.9099 10.8608 1.3867
0.3431 2.5896 3.6980
-1.8701 3.9265 9.4366
-1.6309 6.7698 9.9117
0.5823 12.7785 4.1731
-0.7356 2.6087 7.6133
1.4776 3.9074 1.8747
-0.7243 9.1248 9.6024
1.4889 10.4235 3.8639
0.1711 0.2537 7.3040
2.3843 6.2624 1.5655
2.6234 9.1057 2.0405
0.4102 10.4426 7.7791
-0.1565 2.1714 10.0905
2.0567 4.3447 4.3519
2.7542 2.2001 3.0878
0.5410 4.3160 8.8264
0.7877 7.1276 9.3136
3.0010 12.4207 3.5751
4.3446 7.8490 0.1403
2.1314 11.6993 5.8789
3.4492 7.2071 4.0199
1.2360 12.3412 9.7585

=====

NbTlP2O8 (GGA-PBE, relaxed); magnetic moment = 0.00 μB per formula unit; energy = -7.4361 eV/atom
1.0
2.5543 1.4747 8.7010
-2.5543 1.4747 8.7010
0.0000 -2.9495 8.7010
Nb Tl P O
1 1 2 8
Cartesian
0.0000 0.0000 0.0000
0.0000 0.0000 13.0515
0.0000 0.0000 6.9368
0.0000 0.0000 19.1662
-1.4083 0.3266 7.5435
0.0000 0.0000 5.4403
0.4213 -1.3829 7.5435
-0.9870 -1.0563 18.5595
0.9870 1.0563 7.5435
-0.4213 1.3829 18.5595
0.0000 0.0000 20.6627
1.4083 -0.3266 18.5595

=====

NbTlP2O (GGA-PBE, relaxed); magnetic moment = 0.00 μB per formula unit; energy = -6.1108 eV/atom
1.0
5.0273 0.0000 0.0000
0.0000 5.0273 0.0000
0.0000 0.0000 3.9420
Nb Tl P O
1 1 2 1
Cartesian
0.0000 0.0000 0.0000
2.5137 2.5137 1.9710
0.0000 2.5137 0.0000
2.5137 0.0000 0.0000
0.0000 0.0000 1.9710

=====

NbTlPO2 (GGA-PBE, relaxed); magnetic moment = 0.00 μB per formula unit; energy = -6.8530 eV/atom
1.0
3.9941 0.0000 0.0000
0.0000 3.9941 0.0000
0.0000 0.0000 5.2892
Nb Tl P O
1 1 1 2
Cartesian
0.0000 0.0000 0.0000
1.9971 1.9971 2.6446
0.0000 0.0000 2.6446
0.0000 1.9971 0.0000
1.9971 0.0000 0.0000

=====

The records above give, respectively, raw formation energy values of -2.1857, -2.1927, -0.4680, -1.3005 eV/atom.